No. 1
This record from Alexandria describes crystalline BeInO2 at its relaxed geometry. The functional is PBE.

* ΔE_f (raw): -138 kJ/mol of formula units
* E_tot: -17.816 eV per formula unit
* SG: No. 225

The structure in POSCAR format:
```
BeInO2
1.0
0.000 2.786 2.786
2.786 0.000 2.786
2.786 2.786 0.000
Be In O
1 1 2
Direct
0.000 0.000 0.000
0.500 0.500 0.500
0.250 0.250 0.250
0.750 0.750 0.750
```


No. 2
This record from Alexandria describes crystalline MgSn2PbBr8 at its relaxed geometry. The functional is PBE.

* ΔE_f (raw): -1092 kJ/mol of formula units
* E_tot: -38.009 eV per formula unit
* SG: No. 10

The structure in POSCAR format:
```
MgSn2PbBr8
1.0
6.693 0.000 0.000
0.000 8.771 0.000
-0.083 0.000 7.055
Mg Sn Pb Br
1 2 1 8
Direct
0.000 0.000 0.000
0.500 0.238 0.500
0.500 0.762 0.500
0.000 0.500 0.000
0.230 0.223 0.152
0.230 0.777 0.152
0.240 0.000 0.679
0.264 0.500 0.652
0.736 0.500 0.348
0.760 0.000 0.321
0.770 0.223 0.848
0.770 0.777 0.848
```


No. 3
This record from Alexandria describes crystalline AlRh2 at its relaxed geometry. The functional is PBE.

* calculated formation energy: -470 meV per atom
* E_tot: -19.856 eV per formula unit
* SG: No. 156

The structure in POSCAR format:
```
AlRh2
1.0
5.492 0.000 0.000
-2.746 4.756 0.000
0.000 0.000 6.520
Al Rh
4 8
Direct
0.000 0.000 0.000
0.336 0.168 0.366
0.832 0.168 0.366
0.832 0.664 0.366
0.169 0.339 0.688
0.169 0.831 0.688
0.333 0.667 0.359
0.502 0.003 0.039
0.502 0.498 0.039
0.661 0.831 0.688
0.667 0.333 0.674
0.997 0.498 0.039
```


No. 4
This record from Alexandria describes crystalline LaHfBi2F at its relaxed geometry. The functional is PBE.

* ΔE_f (raw): -322 kJ/mol of formula units
* E_tot: -27.849 eV per formula unit
* SG: No. 123

The structure in POSCAR format:
```
LaHfBi2F
1.0
5.477 0.000 0.000
0.000 5.477 0.000
0.000 0.000 4.478
La Hf Bi F
1 1 2 1
Direct
0.000 0.000 0.000
0.500 0.500 0.000
0.000 0.500 0.500
0.500 0.000 0.500
0.000 0.000 0.500
```